LiVReGe GGA-PBE optimized geometry; electronic total energy = -7.11 eV per atom; crystal system = cubic; formation enthalpy at 0 K = -88 meV per atom
1.0
-0.104 -1.280 -4.061
-0.334 -4.146 -0.919
-3.613 -1.529 -1.660
Re Ge Li V
1 1 1 1
direct
0.250 0.250 0.250
0.500 0.500 0.500
0.750 0.750 0.750
0.000 0.000 0.000



Tb8Pr2Dy3 GGA-PBE optimized geometry; electronic total energy = -4.41 eV per atom; crystal system = orthorhombic; offset from the most stable computed form = 0.098 eV per atom; formation enthalpy at 0 K = 233 meV per atom
1.0
-3.979 -3.371 1.951
7.742 -6.469 4.607
5.556 -1.032 9.543
Tb Pr Dy
8 2 3
direct
0.000 0.661 0.661
0.000 0.339 0.339
0.000 0.128 0.128
0.000 0.872 0.872
0.500 0.606 0.183
0.500 0.183 0.606
0.500 0.817 0.394
0.500 0.394 0.817
0.500 0.241 0.241
0.500 0.759 0.759
0.500 0.000 0.000
0.000 0.288 0.712
0.000 0.712 0.288



Th2PN GGA-PBE optimized geometry; electronic total energy = -8.62 eV per atom; crystal system = trigonal; offset from the most stable computed form = 0.000 eV per atom; formation energy (no corrections) = -1.4734 eV/atom
1.0
3.865 0.000 0.000
1.933 3.348 0.000
1.933 1.116 6.488
P Th N
1 2 1
direct
0.000 0.000 0.000
0.239 0.239 0.284
0.761 0.761 0.716
0.500 0.500 0.500



Zr2ScAu2 GGA-PBE optimized geometry; electronic total energy = -6.47 eV per atom; crystal system = tetragonal; offset from the most stable computed form = 0.000 eV per atom; formation enthalpy at 0 K = -470 meV per atom
1.0
7.755 0.000 0.000
0.000 7.755 0.000
0.000 0.000 3.550
Sc Au Zr
2 4 4
direct
0.000 0.000 0.000
0.500 0.500 0.000
0.371 0.871 0.000
0.871 0.629 0.000
0.629 0.129 0.000
0.129 0.371 0.000
0.171 0.671 0.500
0.671 0.829 0.500
0.829 0.329 0.500
0.329 0.171 0.500



Ba3Te GGA-PBE optimized geometry; electronic total energy = -2.81 eV per atom; crystal system = orthorhombic; offset from the most stable computed form = 0.199 eV per atom; formation energy (no corrections) = -0.5778 eV/atom
1.0
4.683 0.000 0.000
0.000 5.627 0.000
0.000 0.000 7.474
Ba Te
3 1
direct
0.000 0.000 0.024
0.500 0.000 0.449
0.500 0.500 0.899
0.000 0.500 0.295



ZrBe2Ag2 GGA-PBE optimized geometry; electronic total energy = -4.15 eV per atom; crystal system = tetragonal; offset from the most stable computed form = 0.013 eV per atom; formation enthalpy at 0 K = 189 meV per atom
1.0
-2.622 -2.888 1.467
0.670 -2.330 -3.390
2.440 -4.654 1.120
Be Zr Ag
2 1 2
direct
0.750 0.250 0.500
0.250 0.750 0.500
0.000 0.000 0.000
0.358 0.358 0.285
0.642 0.642 0.715



Nd11Tl4Hg9 GGA-PBE optimized geometry; electronic total energy = -3.09 eV per atom; crystal system = orthorhombic; formation enthalpy at 0 K = -395 meV per atom
1.0
-0.834 -1.046 3.521
10.267 -9.158 -0.288
5.559 11.647 4.777
Nd Tl Hg
11 4 9
direct
0.000 0.595 0.938
0.000 0.405 0.062
0.000 0.938 0.595
0.000 0.062 0.405
0.000 0.639 0.361
0.000 0.361 0.639
0.000 0.816 0.184
0.000 0.184 0.816
0.000 0.000 0.000
0.000 0.776 0.776
0.000 0.224 0.224
0.500 0.570 0.730
0.500 0.430 0.270
0.500 0.730 0.570
0.500 0.270 0.430
0.500 0.612 0.148
0.500 0.388 0.852
0.500 0.148 0.612
0.500 0.852 0.388
0.500 0.801 0.984
0.500 0.199 0.016
0.500 0.984 0.801
0.500 0.016 0.199
0.500 0.500 0.500



LaCd4Hg GGA-PBE optimized geometry; electronic total energy = -1.65 eV per atom; crystal system = cubic; offset from the most stable computed form = 0.079 eV per atom; formation enthalpy at 0 K = -164 meV per atom
1.0
0.000 4.250 4.250
4.250 0.000 4.250
4.250 4.250 0.000
La Cd Hg
1 4 1
direct
0.000 0.000 0.000
0.875 0.375 0.375
0.375 0.375 0.875
0.375 0.875 0.375
0.375 0.375 0.375
0.750 0.750 0.750